(1)
## Tb8CeTm2 (PBE-GGA)

Data for an optimized crystal structure of Tb8CeTm2. Values from VASP.

Summary:
The density of states at the Fermi level is 17.6 states/eV/f.u. The calculation puts the calculated formation energy at 38 meV/atom. As for the space group: C2/m. The value obtained for the mass density is 8.4 Mg/m³. The calculation puts the energy relative to the lowest polymorph listed for this composition at 0.0 meV per atom.

Geometry as Quantum ESPRESSO input:
```
&SYSTEM
  ibrav = 0, nat = 11, ntyp = 3
/
ATOMIC_SPECIES
Tb 158.93 Tb.upf
Ce 140.12 Ce.upf
Tm 168.93 Tm.upf
CELL_PARAMETERS angstrom
9.046 -2.506 0.000
9.046 2.506 0.000
-2.081 0.000 7.645
ATOMIC_POSITIONS crystal
Tb 0.045 0.045 0.231
Tb 0.136 0.136 0.683
Tb 0.319 0.319 0.591
Tb 0.409 0.409 0.045
Tb 0.591 0.591 0.955
Tb 0.681 0.681 0.409
Tb 0.864 0.864 0.317
Tb 0.955 0.955 0.769
Ce 0.500 0.500 0.500
Tm 0.228 0.228 0.137
Tm 0.772 0.772 0.863
```



(2)
## KRbTl (PBE-GGA)

Data for an optimized crystal structure of KRbTl. Values from VASP.

Summary:
The density of states at the Fermi level is 2.4 states/eV/f.u. The calculation puts the calculated formation energy at -42 meV/atom. As for the space group: C2/m. The value obtained for the mass density is 3.5 Mg/m³. The calculation puts the energy relative to the lowest polymorph listed for this composition at 13.0 meV per atom.

Geometry as Quantum ESPRESSO input:
```
&SYSTEM
  ibrav = 0, nat = 6, ntyp = 3
/
ATOMIC_SPECIES
K 39.10 K.upf
Rb 85.47 Rb.upf
Tl 204.38 Tl.upf
CELL_PARAMETERS angstrom
6.018 -3.130 0.000
6.018 3.130 0.000
-3.555 0.000 8.344
ATOMIC_POSITIONS crystal
K 0.102 0.102 0.368
K 0.898 0.898 0.632
Rb 0.303 0.303 0.875
Rb 0.697 0.697 0.125
Tl 0.407 0.407 0.339
Tl 0.593 0.593 0.661
```



(3)
## Pm2Pr6Al (PBE-GGA)

Data for an optimized crystal structure of Pm2Pr6Al. Values from VASP.

Summary:
The density of states at the Fermi level is 13.8 states/eV/f.u. The calculation puts the calculated formation energy at 75 meV/atom. As for the space group: C2/m. The value obtained for the mass density is 6.2 Mg/m³.

Geometry as Quantum ESPRESSO input:
```
&SYSTEM
  ibrav = 0, nat = 9, ntyp = 3
/
ATOMIC_SPECIES
Pm 145.00 Pm.upf
Pr 140.91 Pr.upf
Al 26.98 Al.upf
CELL_PARAMETERS angstrom
8.892 -4.845 0.000
8.892 4.845 0.000
-0.393 0.000 3.605
ATOMIC_POSITIONS crystal
Pm 0.174 0.174 0.424
Pm 0.826 0.826 0.576
Pr 0.168 0.505 0.032
Pr 0.216 0.784 0.500
Pr 0.495 0.832 0.968
Pr 0.505 0.168 0.032
Pr 0.784 0.216 0.500
Pr 0.832 0.495 0.968
Al 0.500 0.500 0.000
```



(4)
## PdCBr2 (PBE-GGA)

Data for an optimized crystal structure of PdCBr2. Values from VASP.

Summary:
The density of states at the Fermi level is 2.7 states/eV/f.u. As for the space group: Fm-3m. The value obtained for the mass density is 6.5 Mg/m³. The calculation puts the energy relative to the lowest polymorph listed for this composition at 340.2 meV per atom.

Geometry as Quantum ESPRESSO input:
```
&SYSTEM
  ibrav = 0, nat = 4, ntyp = 3
/
ATOMIC_SPECIES
Pd 106.42 Pd.upf
C 12.01 C.upf
Br 79.90 Br.upf
CELL_PARAMETERS angstrom
0.000 3.289 3.289
3.289 0.000 3.289
3.289 3.289 0.000
ATOMIC_POSITIONS crystal
Pd 0.000 0.000 0.000
C 0.500 0.500 0.500
Br 0.250 0.250 0.250
Br 0.750 0.750 0.750
```



(5)
## Rb4CePa3N8 (PBE-GGA)

Data for an optimized crystal structure of Rb4CePa3N8. Values from VASP.

Summary:
The density of states at the Fermi level is 15.6 states/eV/f.u. The value obtained for the total energy is -7.56 eV/atom. As for the space group: C2/m. The value obtained for the mass density is 7.0 Mg/m³.

Geometry as Quantum ESPRESSO input:
```
&SYSTEM
  ibrav = 0, nat = 16, ntyp = 4
/
ATOMIC_SPECIES
Rb 85.47 Rb.upf
Ce 140.12 Ce.upf
Pa 231.04 Pa.upf
N 14.01 N.upf
CELL_PARAMETERS angstrom
6.294 -3.612 0.000
6.294 3.612 0.000
-4.170 0.000 6.747
ATOMIC_POSITIONS crystal
Rb 0.000 0.000 0.000
Rb 0.000 0.500 0.000
Rb 0.500 0.000 0.000
Rb 0.500 0.500 0.000
Ce 0.000 0.000 0.500
Pa 0.000 0.500 0.500
Pa 0.500 0.000 0.500
Pa 0.500 0.500 0.500
N 0.224 0.224 0.655
N 0.225 0.707 0.654
N 0.280 0.280 0.342
N 0.293 0.775 0.346
N 0.707 0.225 0.654
N 0.720 0.720 0.658
N 0.775 0.293 0.346
N 0.776 0.776 0.345
```



(6)
## Ni2OsPb (PBE-GGA)

Data for an optimized crystal structure of Ni2OsPb. Values from VASP.

Summary:
The density of states at the Fermi level is 6.0 states/eV/f.u. The calculation puts the calculated formation energy at 688 meV/atom. As for the space group: Immm. The value obtained for the mass density is 14.0 Mg/m³.

Geometry as Quantum ESPRESSO input:
```
&SYSTEM
  ibrav = 0, nat = 4, ntyp = 3
/
ATOMIC_SPECIES
Ni 58.69 Ni.upf
Os 190.23 Os.upf
Pb 207.20 Pb.upf
CELL_PARAMETERS angstrom
-1.565 2.262 4.307
1.565 -2.262 4.307
1.565 2.262 -4.307
ATOMIC_POSITIONS crystal
Ni 0.243 0.243 0.000
Ni 0.757 0.757 0.000
Os 0.000 0.500 0.500
Pb 0.500 0.000 0.500
```



Please write out number 6 again, unchanged.
## Ni2OsPb (PBE-GGA)

Data for an optimized crystal structure of Ni2OsPb. Values from VASP.

Summary:
The density of states at the Fermi level is 6.0 states/eV/f.u. The calculation puts the calculated formation energy at 688 meV/atom. As for the space group: Immm. The value obtained for the mass density is 14.0 Mg/m³.

Geometry as Quantum ESPRESSO input:
```
&SYSTEM
  ibrav = 0, nat = 4, ntyp = 3
/
ATOMIC_SPECIES
Ni 58.69 Ni.upf
Os 190.23 Os.upf
Pb 207.20 Pb.upf
CELL_PARAMETERS angstrom
-1.565 2.262 4.307
1.565 -2.262 4.307
1.565 2.262 -4.307
ATOMIC_POSITIONS crystal
Ni 0.243 0.243 0.000
Ni 0.757 0.757 0.000
Os 0.000 0.500 0.500
Pb 0.500 0.000 0.500
```